This record from the Alexandria database describes a geometry-optimized AcInSnPb structure. The functional is PBE.

a = 5.6633 Å, b = 5.6633 Å, c = 5.6633 Å
α = 60.00°, β = 60.00°, γ = 60.00°
Element x y z (fractional)
In 0.0000 0.0000 0.0000
Sn 0.5000 0.5000 0.5000
Ac 0.7500 0.7500 0.7500
Pb 0.2500 0.2500 0.2500

Calculated values
**D(E_F)**: 0.7716 states/eV/atom
**E_form**: -99 kJ/mol of formula units
**Space-group type**: F-43m, No. 216
**Polymorph energy (0 for the lowest one)**: 187.9 meV/atom

***

This record from the Alexandria database describes a geometry-optimized Ac2InSn4Pb2 structure. The functional is PBE.

a = 7.6982 Å, b = 7.6982 Å, c = 7.6982 Å
α = 82.71°, β = 124.30°, γ = 124.30°
Element x y z (fractional)
Ac 0.0000 0.2735 0.2735
Ac 0.0000 0.7265 0.7265
Pb 0.5000 0.7500 0.2500
Pb 0.5000 0.2500 0.7500
In 0.0000 0.0000 0.0000
Sn 0.4442 0.7221 0.7221
Sn 0.0000 0.7221 0.2779
Sn 0.5558 0.2779 0.2779
Sn 0.0000 0.2779 0.7221

Calculated values
**D(E_F)**: 0.7889 states/eV/atom
**E_form**: -107 kJ/mol of formula units
**Space-group type**: I4/mmm, No. 139

***

This record from the Alexandria database describes a geometry-optimized Ac6InTe3Pb2 structure. The functional is PBE.

a = 4.8073 Å, b = 9.6767 Å, c = 10.8349 Å
α = 104.67°, β = 102.82°, γ = 90.00°
Element x y z (fractional)
Te 0.5000 0.5000 0.0000
Te 0.1679 0.8313 0.3359
Te 0.8321 0.1687 0.6641
Ac 0.6656 0.0856 0.3312
Ac 0.0001 0.7511 0.0003
Ac 0.3344 0.9144 0.6688
Ac 0.3312 0.4241 0.6624
Ac 0.6688 0.5759 0.3376
Ac 0.9999 0.2489 0.9997
In 0.5000 0.0000 0.0000
Pb 0.8350 0.6707 0.6699
Pb 0.1650 0.3293 0.3301

Calculated values
**D(E_F)**: 0.7353 states/eV/atom
**Space-group type**: C2/m, No. 12
**Energy relative to the elements, uncorrected**: -0.987 eV/atom

***

This record from the Alexandria database describes a geometry-optimized AcThInPb structure. The functional is PBE.

a = 5.6826 Å, b = 5.6826 Å, c = 5.6826 Å
α = 60.00°, β = 60.00°, γ = 60.00°
Element x y z (fractional)
Pb 0.5000 0.5000 0.5000
Th 0.7500 0.7500 0.7500
In 0.0000 0.0000 0.0000
Ac 0.2500 0.2500 0.2500

Calculated values
**D(E_F)**: 1.3541 states/eV/atom
**E_form**: -93 kJ/mol of formula units
**Space-group type**: F-43m, No. 216

***

This record from the Alexandria database describes a geometry-optimized AcTlInPb structure. The functional is PBE.

a = 4.8834 Å, b = 5.1636 Å, c = 4.9466 Å
α = 90.00°, β = 90.00°, γ = 90.00°
Element x y z (fractional)
Pb 0.0000 0.5000 0.5000
Ac 0.5000 0.5000 0.0000
Tl 0.0000 0.0000 0.0000
In 0.5000 0.0000 0.5000

Calculated values
**D(E_F)**: 0.5789 states/eV/atom
**E_form**: -144 kJ/mol of formula units
**Space-group type**: Pmmm, No. 47
**Polymorph energy (0 for the lowest one)**: 0.0 meV/atom

***

This record from the Alexandria database describes a geometry-optimized AcTlInPb structure. The functional is PBE.

a = 5.6707 Å, b = 5.6707 Å, c = 5.6707 Å
α = 60.00°, β = 60.00°, γ = 60.00°
Element x y z (fractional)
Tl 0.0000 0.0000 0.0000
Pb 0.7500 0.7500 0.7500
Ac 0.2500 0.2500 0.2500
In 0.5000 0.5000 0.5000

Calculated values
**D(E_F)**: 0.4396 states/eV/atom
**E_form**: -95 kJ/mol of formula units
**Space-group type**: F-43m, No. 216
**Polymorph energy (0 for the lowest one)**: 127.3 meV/atom

***

This record from the Alexandria database describes a geometry-optimized AcTmInPb structure. The functional is PBE.

a = 5.6107 Å, b = 5.6107 Å, c = 5.6107 Å
α = 60.00°, β = 60.00°, γ = 60.00°
Element x y z (fractional)
Tm 0.0000 0.0000 0.0000
In 0.2500 0.2500 0.2500
Ac 0.5000 0.5000 0.5000
Pb 0.7500 0.7500 0.7500

Calculated values
**D(E_F)**: 0.7475 states/eV/atom
**E_form**: -142 kJ/mol of formula units
**Space-group type**: F-43m, No. 216

***

This record from the Alexandria database describes a geometry-optimized AcYInPb structure. The functional is PBE.

a = 5.6365 Å, b = 5.6365 Å, c = 5.6365 Å
α = 60.00°, β = 60.00°, γ = 60.00°
Element x y z (fractional)
Ac 0.2500 0.2500 0.2500
Y 0.7500 0.7500 0.7500
Pb 0.0000 0.0000 0.0000
In 0.5000 0.5000 0.5000

Calculated values
**D(E_F)**: 0.7494 states/eV/atom
**E_form**: -159 kJ/mol of formula units
**Space-group type**: F-43m, No. 216

***

This record from the Alexandria database describes a geometry-optimized AcZnInPb structure. The functional is PBE.

a = 5.4856 Å, b = 5.4856 Å, c = 5.4856 Å
α = 60.00°, β = 60.00°, γ = 60.00°
Element x y z (fractional)
Ac 0.7500 0.7500 0.7500
In 0.5000 0.5000 0.5000
Pb 0.2500 0.2500 0.2500
Zn 0.0000 0.0000 0.0000

Calculated values
**D(E_F)**: 0.6047 states/eV/atom
**E_form**: -77 kJ/mol of formula units
**Space-group type**: F-43m, No. 216

***

This record from the Alexandria database describes a geometry-optimized Ac2Zn4In3Pb structure. The functional is PBE.

a = 4.7314 Å, b = 4.7314 Å, c = 11.2429 Å
α = 90.00°, β = 90.00°, γ = 90.00°
Element x y z (fractional)
Ac 0.5000 0.0000 0.2352
Ac 0.0000 0.5000 0.7648
In 0.0000 0.0000 0.5000
In 0.5000 0.0000 0.8762
In 0.0000 0.5000 0.1238
Zn 0.0000 0.0000 0.0000
Zn 0.5000 0.0000 0.6430
Zn 0.5000 0.5000 0.0000
Zn 0.0000 0.5000 0.3570
Pb 0.5000 0.5000 0.5000

Calculated values
**D(E_F)**: 0.2713 states/eV/atom
**E_form**: -323 kJ/mol of formula units
**Space-group type**: P-4m2, No. 115

***

This record from the Alexandria database describes a geometry-optimized Ac3InPd8 structure. The functional is PBE.

a = 5.6417 Å, b = 5.6417 Å, c = 9.7204 Å
α = 73.13°, β = 73.13°, γ = 60.00°
Element x y z (fractional)
Pd 0.5623 0.5623 0.8176
Pd 0.5629 0.0602 0.3167
Pd 0.3108 0.3108 0.0675
Pd 0.5623 0.0578 0.8176
Pd 0.0602 0.5629 0.3167
Pd 0.0602 0.0602 0.3167
Pd 0.0578 0.5623 0.8176
Pd 0.8105 0.8105 0.5684
Ac 0.0115 0.0115 0.9654
Ac 0.6219 0.6219 0.1344
Ac 0.4915 0.4915 0.5254
In 0.1380 0.1380 0.5860

Calculated values
**D(E_F)**: 0.4831 states/eV/atom
**E_form**: -827 kJ/mol of formula units
**Space-group type**: R3m, No. 160

***

This record from the Alexandria database describes a geometry-optimized Ac2InPd3 structure. The functional is PBE.

a = 6.3180 Å, b = 6.3180 Å, c = 8.9663 Å
α = 107.43°, β = 107.43°, γ = 98.61°
Element x y z (fractional)
Pd 0.3408 0.8299 0.1707
Pd 0.1634 0.1634 0.3268
Pd 0.6592 0.1701 0.8293
Pd 0.8366 0.8366 0.6732
Pd 0.1701 0.6592 0.8293
Pd 0.8299 0.3408 0.1707
Ac 0.7604 0.7604 0.0000
Ac 0.2396 0.2396 0.0000
Ac 0.2500 0.7500 0.5000
Ac 0.7500 0.2500 0.5000
In 0.3325 0.3325 0.6650
In 0.6675 0.6675 0.3350

Calculated values
**D(E_F)**: 0.5875 states/eV/atom
**E_form**: -406 kJ/mol of formula units
**Space-group type**: Fmmm, No. 69
**Polymorph energy (0 for the lowest one)**: 47.0 meV/atom